1.
# Ru2Rh, relaxed, DFT PBE-GGA
# Calculated volume   41.9 Å³/f.u.
# Density of states at the Fermi level   0.81 states/eV/atom
# Polymorph energy (0 for the lowest one)   0 meV/atom
# Theoretical density   12.08 g/cm3
# ΔH_f (0 K)   -6 meV/atom
data_Ru2Rh
_chemical_formula_sum 'Ru4 Rh2'
_space_group_name_H-M_alt 'P 1'
_space_group_IT_number 1
_space_group_name_Hall 'P 1'
_cell_length_a 7.244
_cell_length_b 7.244
_cell_length_c 4.312
_cell_angle_alpha 90.00
_cell_angle_beta 90.00
_cell_angle_gamma 158.24
loop_
_atom_site_label
_atom_site_type_symbol
_atom_site_fract_x
_atom_site_fract_y
_atom_site_fract_z
Ru1 Ru 0.054 0.946 0.750
Ru2 Ru 0.391 0.609 0.750
Ru3 Ru 0.609 0.391 0.250
Ru4 Ru 0.946 0.054 0.250
Rh1 Rh 0.278 0.722 0.250
Rh2 Rh 0.722 0.278 0.750

---

2.
# RuRh3, relaxed, DFT PBE-GGA
# Calculated volume   56.6 Å³/f.u.
# Density of states at the Fermi level   1.84 states/eV/atom
# Theoretical density   12.01 g/cm3
# ΔH_f (0 K)   69 meV/atom
data_RuRh3
_chemical_formula_sum 'Ru1 Rh3'
_space_group_name_H-M_alt 'P 1'
_space_group_IT_number 1
_space_group_name_Hall 'P 1'
_cell_length_a 8.941
_cell_length_b 8.941
_cell_length_c 8.941
_cell_angle_alpha 17.54
_cell_angle_beta 17.54
_cell_angle_gamma 17.54
loop_
_atom_site_label
_atom_site_type_symbol
_atom_site_fract_x
_atom_site_fract_y
_atom_site_fract_z
Ru1 Ru 0.000 0.000 0.000
Rh1 Rh 0.251 0.251 0.251
Rh2 Rh 0.500 0.500 0.500
Rh3 Rh 0.749 0.749 0.749

---

3.
# RuRh2, relaxed, DFT PBE-GGA
# Calculated volume   43.3 Å³/f.u.
# Density of states at the Fermi level   1.87 states/eV/atom
# Polymorph energy (0 for the lowest one)   257 meV/atom
# Theoretical density   11.76 g/cm3
# ΔH_f (0 K)   269 meV/atom
data_RuRh2
_chemical_formula_sum 'Ru2 Rh4'
_space_group_name_H-M_alt 'P 1'
_space_group_IT_number 1
_space_group_name_Hall 'P 1'
_cell_length_a 4.339
_cell_length_b 4.339
_cell_length_c 5.318
_cell_angle_alpha 90.00
_cell_angle_beta 90.00
_cell_angle_gamma 120.00
loop_
_atom_site_label
_atom_site_type_symbol
_atom_site_fract_x
_atom_site_fract_y
_atom_site_fract_z
Ru1 Ru 0.333 0.667 0.250
Ru2 Ru 0.667 0.333 0.750
Rh1 Rh 0.000 0.000 0.000
Rh2 Rh 0.000 0.000 0.500
Rh3 Rh 0.333 0.667 0.750
Rh4 Rh 0.667 0.333 0.250

---

4.
# RuRh3, relaxed, DFT PBE-GGA
# Calculated volume   56.4 Å³/f.u.
# Density of states at the Fermi level   1.21 states/eV/atom
# Theoretical density   12.06 g/cm3
# ΔH_f (0 K)   19 meV/atom
data_RuRh3
_chemical_formula_sum 'Ru1 Rh3'
_space_group_name_H-M_alt 'P 1'
_space_group_IT_number 1
_space_group_name_Hall 'P 1'
_cell_length_a 2.709
_cell_length_b 2.709
_cell_length_c 7.686
_cell_angle_alpha 90.00
_cell_angle_beta 90.00
_cell_angle_gamma 90.00
loop_
_atom_site_label
_atom_site_type_symbol
_atom_site_fract_x
_atom_site_fract_y
_atom_site_fract_z
Ru1 Ru 0.000 0.000 0.000
Rh1 Rh 0.000 0.000 0.500
Rh2 Rh 0.500 0.500 0.246
Rh3 Rh 0.500 0.500 0.754

---

5.
# RuRh4, relaxed, DFT PBE-GGA
# Calculated volume   70.8 Å³/f.u.
# Density of states at the Fermi level   1.64 states/eV/atom
# Polymorph energy (0 for the lowest one)   45 meV/atom
# Theoretical density   12.02 g/cm3
# ΔH_f (0 K)   62 meV/atom
data_RuRh4
_chemical_formula_sum 'Ru1 Rh4'
_space_group_name_H-M_alt 'P 1'
_space_group_IT_number 1
_space_group_name_Hall 'P 1'
_cell_length_a 11.112
_cell_length_b 11.112
_cell_length_c 11.112
_cell_angle_alpha 14.09
_cell_angle_beta 14.09
_cell_angle_gamma 14.09
loop_
_atom_site_label
_atom_site_type_symbol
_atom_site_fract_x
_atom_site_fract_y
_atom_site_fract_z
Ru1 Ru 0.000 0.000 0.000
Rh1 Rh 0.200 0.200 0.200
Rh2 Rh 0.399 0.399 0.399
Rh3 Rh 0.601 0.601 0.601
Rh4 Rh 0.800 0.800 0.800

---

6.
# RuRhS4, relaxed, DFT PBE-GGA
# Calculated volume   92.5 Å³/f.u.
# Density of states at the Fermi level   0.61 states/eV/atom
# Theoretical density   5.96 g/cm3
# Formation energy (no corrections)   -44 kJ/mol of atoms
data_RuRhS4
_chemical_formula_sum 'Ru2 Rh2 S8'
_space_group_name_H-M_alt 'P 1'
_space_group_IT_number 1
_space_group_name_Hall 'P 1'
_cell_length_a 5.690
_cell_length_b 5.703
_cell_length_c 5.702
_cell_angle_alpha 90.00
_cell_angle_beta 90.02
_cell_angle_gamma 90.00
loop_
_atom_site_label
_atom_site_type_symbol
_atom_site_fract_x
_atom_site_fract_y
_atom_site_fract_z
Ru1 Ru 0.000 0.000 0.000
Ru2 Ru 0.000 0.500 0.500
Rh1 Rh 0.500 0.000 0.500
Rh2 Rh 0.500 0.500 0.000
S1 S 0.110 0.118 0.382
S2 S 0.110 0.382 0.882
S3 S 0.381 0.613 0.388
S4 S 0.381 0.887 0.888
S5 S 0.619 0.113 0.112
S6 S 0.619 0.387 0.612
S7 S 0.890 0.618 0.118
S8 S 0.890 0.882 0.618

---

7.
# RuRh3S, relaxed, DFT PBE-GGA
# Calculated volume   101.5 Å³/f.u.
# Density of states at the Fermi level   1.90 states/eV/atom
# Polymorph energy (0 for the lowest one)   948 meV/atom
# Theoretical density   7.23 g/cm3
# Formation energy (no corrections)   149 kJ/mol of atoms
data_RuRh3S
_chemical_formula_sum 'Ru1 Rh3 S1'
_space_group_name_H-M_alt 'P 1'
_space_group_IT_number 1
_space_group_name_Hall 'P 1'
_cell_length_a 4.665
_cell_length_b 4.665
_cell_length_c 4.665
_cell_angle_alpha 90.00
_cell_angle_beta 90.00
_cell_angle_gamma 90.00
loop_
_atom_site_label
_atom_site_type_symbol
_atom_site_fract_x
_atom_site_fract_y
_atom_site_fract_z
Ru1 Ru 0.000 0.000 0.000
Rh1 Rh 0.000 0.000 0.500
Rh2 Rh 0.000 0.500 0.000
Rh3 Rh 0.500 0.000 0.000
S1 S 0.500 0.500 0.500

---

8.
# RuRh3S, relaxed, DFT PBE-GGA
# Calculated volume   82.6 Å³/f.u.
# Density of states at the Fermi level   1.66 states/eV/atom
# Polymorph energy (0 for the lowest one)   0 meV/atom
# Theoretical density   8.88 g/cm3
# Formation energy (no corrections)   58 kJ/mol of atoms
data_RuRh3S
_chemical_formula_sum 'Ru1 Rh3 S1'
_space_group_name_H-M_alt 'P 1'
_space_group_IT_number 1
_space_group_name_Hall 'P 1'
_cell_length_a 4.355
_cell_length_b 4.355
_cell_length_c 4.355
_cell_angle_alpha 90.00
_cell_angle_beta 90.00
_cell_angle_gamma 90.00
loop_
_atom_site_label
_atom_site_type_symbol
_atom_site_fract_x
_atom_site_fract_y
_atom_site_fract_z
Ru1 Ru 0.000 0.000 0.000
Rh1 Rh 0.000 0.500 0.500
Rh2 Rh 0.500 0.000 0.500
Rh3 Rh 0.500 0.500 0.000
S1 S 0.500 0.500 0.500

---

Question: Which of these has the highest density of states at the Fermi level?
Answer: number 7